Below is a relaxed structure of Nb5GeB2, with properties calculated at the PBE level.

**Space-group type**: No. 140
**V**: 234.1 Å³ per cell
**ΔE_f**: -0.6129 eV/atom

abc: 7.3846 7.3846 7.3846
angles: 129.44 129.44 74.30
Fractional coordinates of all 16 atoms:
Nb: 0.0000 0.0000 0.0000
Nb: 0.0319 0.5319 0.8359
Nb: 0.1960 0.0319 0.5000
Nb: 0.3040 0.8040 0.8359
Nb: 0.4681 0.3040 0.5000
Nb: 0.5000 0.5000 0.0000
Nb: 0.5319 0.6960 0.5000
Nb: 0.6960 0.1960 0.1641
Nb: 0.8040 0.9681 0.5000
Nb: 0.9681 0.4681 0.1641
Ge: 0.2500 0.2500 0.0000
Ge: 0.7500 0.7500 0.0000
B: 0.1139 0.3861 0.5000
B: 0.3861 0.8861 0.2723
B: 0.6139 0.1139 0.7277
B: 0.8861 0.6139 0.5000

Below is a relaxed structure of NbGeB, with properties calculated at the PBE level.

**Space-group type**: No. 139
**V**: 84.2 Å³ per cell
**ΔE_f**: -0.0848 eV/atom

abc: 7.9845 7.9845 7.9845
angles: 155.99 155.99 34.21
Fractional coordinates of all 6 atoms:
Nb: 0.1044 0.1044 0.0000
Nb: 0.8956 0.8956 0.0000
Ge: 0.2977 0.2977 0.0000
Ge: 0.7023 0.7023 0.0000
B: 0.0000 0.5000 0.5000
B: 0.5000 0.0000 0.5000

Below is a relaxed structure of Nb5Ge3B, with properties calculated at the PBE level.

**Space-group type**: No. 193
**V**: 281.8 Å³ per cell
**ΔE_f**: -0.5800 eV/atom

abc: 7.7846 7.7846 5.3704
angles: 90.00 90.00 120.00
Fractional coordinates of all 18 atoms:
Nb: 0.0000 0.2433 0.2500
Nb: 0.0000 0.7567 0.7500
Nb: 0.2433 0.0000 0.2500
Nb: 0.2433 0.2433 0.7500
Nb: 0.3333 0.6667 0.0000
Nb: 0.3333 0.6667 0.5000
Nb: 0.6667 0.3333 0.0000
Nb: 0.6667 0.3333 0.5000
Nb: 0.7567 0.0000 0.7500
Nb: 0.7567 0.7567 0.2500
Ge: 0.0000 0.4007 0.7500
Ge: 0.0000 0.5993 0.2500
Ge: 0.4007 0.0000 0.7500
Ge: 0.4007 0.4007 0.2500
Ge: 0.5993 0.0000 0.2500
Ge: 0.5993 0.5993 0.7500
B: 0.0000 0.0000 0.0000
B: 0.0000 0.0000 0.5000

Below is a relaxed structure of Nb2GeB, with properties calculated at the PBE level.

**Space-group type**: No. 166
**V**: 60.8 Å³ per cell
**ΔE_f**: -0.4192 eV/atom

abc: 6.6851 6.6851 6.6851
angles: 28.66 28.66 28.66
Fractional coordinates of all 4 atoms:
Nb: 0.2314 0.2314 0.2314
Nb: 0.7686 0.7686 0.7686
Ge: 0.0000 0.0000 0.0000
B: 0.5000 0.5000 0.5000

Below is a relaxed structure of NbGeB2, with properties calculated at the PBE level.

**Space-group type**: No. 122
**V**: 99.8 Å³ per cell
**ΔE_f**: 0.5117 eV/atom

abc: 5.0620 5.0620 5.0620
angles: 109.80 109.80 108.81
Fractional coordinates of all 8 atoms:
Nb: 0.0000 0.0000 0.0000
Nb: 0.7500 0.2500 0.5000
Ge: 0.2500 0.7500 0.5000
Ge: 0.5000 0.5000 0.0000
B: 0.1590 0.1250 0.5340
B: 0.3750 0.8410 0.9660
B: 0.5910 0.6250 0.4660
B: 0.8750 0.4090 0.0340

Below is a relaxed structure of Nb2GeB, with properties calculated at the PBE level.

**Space-group type**: No. 122
**V**: 122.5 Å³ per cell
**ΔE_f**: 0.0019 eV/atom

abc: 5.4449 5.4449 5.4449
angles: 105.75 105.75 117.21
Fractional coordinates of all 8 atoms:
Nb: 0.0869 0.1250 0.4619
Nb: 0.3750 0.9131 0.0381
Nb: 0.6631 0.6250 0.5381
Nb: 0.8750 0.3369 0.9619
Ge: 0.2500 0.7500 0.5000
Ge: 0.5000 0.5000 0.0000
B: 0.0000 0.0000 0.0000
B: 0.7500 0.2500 0.5000